[1]
Entry from the Alexandria database: a relaxed structure of HoErCd (PBE-GGA).

Results
- DOS at the Fermi energy: 1.16 states/eV/atom
- Energy above the lowest structure with this stoichiometry: 116 meV/atom
- E_tot: -3.426 eV per atom

Cell lengths 3.5164, 5.2248, 5.2248 Å; angles 120.00, 90.00, 90.00 degrees
Positions (direct):
Ho 0.3859 0.3333 0.6667
Er 0.9412 0.0000 0.0000
Cd 0.6729 0.6667 0.3333

[2]
Entry from the Alexandria database: a relaxed structure of HoErCd (PBE-GGA).

Results
- DOS at the Fermi energy: 1.31 states/eV/atom
- Energy above the lowest structure with this stoichiometry: 287 meV/atom
- E_tot: -3.255 eV per atom

Cell lengths 5.1086, 5.1077, 5.1077 Å; angles 60.00, 59.99, 59.99 degrees
Positions (direct):
Er 0.7499 0.7501 0.7501
Ho 0.2500 0.2500 0.2500
Cd 0.0000 0.0000 0.0000

[3]
Entry from the Alexandria database: a relaxed structure of Ho2ErCd2In2 (PBE-GGA).

Results
- DOS at the Fermi energy: 0.58 states/eV/atom
- E_tot: -3.231 eV per atom

Cell lengths 4.9290, 4.9290, 9.2928 Å; angles 74.62, 74.62, 60.00 degrees
Positions (direct):
Ho 0.1279 0.1279 0.6164
Ho 0.8721 0.8721 0.3836
Cd 0.6053 0.6053 0.1841
Cd 0.3947 0.3947 0.8159
Er 0.0000 0.0000 0.0000
In 0.2590 0.2590 0.2230
In 0.7410 0.7410 0.7770

[4]
Entry from the Alexandria database: a relaxed structure of La2HoEr2Cd5 (PBE-GGA).

Results
- DOS at the Fermi energy: 0.71 states/eV/atom
- E_tot: -3.022 eV per atom

Cell lengths 4.7585, 10.7141, 10.7141 Å; angles 90.00, 90.00, 90.00 degrees
Positions (direct):
Cd 0.5000 0.6951 0.4334
Cd 0.5000 0.8049 0.9334
Cd 0.5000 0.5666 0.6951
Cd 0.5000 0.4334 0.3049
Cd 0.5000 0.0666 0.8049
Cd 0.5000 0.0000 0.5000
Cd 0.5000 0.1951 0.0666
Cd 0.5000 0.3049 0.5666
Cd 0.5000 0.5000 0.0000
Cd 0.5000 0.9334 0.1951
Er 0.0000 0.1229 0.6229
Er 0.0000 0.8771 0.3771
Er 0.0000 0.6229 0.8771
Er 0.0000 0.3771 0.1229
La 0.0000 0.1756 0.3244
La 0.0000 0.8244 0.6756
La 0.0000 0.6756 0.1756
La 0.0000 0.3244 0.8244
Ho 0.0000 0.0000 0.0000
Ho 0.0000 0.5000 0.5000

[5]
Entry from the Alexandria database: a relaxed structure of La2Ho2ErCd5 (PBE-GGA).

Results
- DOS at the Fermi energy: 0.72 states/eV/atom
- E_tot: -3.021 eV per atom

Cell lengths 4.7636, 10.7181, 10.7181 Å; angles 90.00, 90.00, 90.00 degrees
Positions (direct):
Cd 0.5000 0.5000 0.0000
Cd 0.5000 0.4337 0.3058
Cd 0.5000 0.5663 0.6942
Cd 0.5000 0.8058 0.9337
Cd 0.5000 0.3058 0.5663
Cd 0.5000 0.0663 0.8058
Cd 0.5000 0.0000 0.5000
Cd 0.5000 0.1942 0.0663
Cd 0.5000 0.6942 0.4337
Cd 0.5000 0.9337 0.1942
Ho 0.0000 0.1234 0.6234
Ho 0.0000 0.3766 0.1234
Ho 0.0000 0.8766 0.3766
Ho 0.0000 0.6234 0.8766
La 0.0000 0.1754 0.3246
La 0.0000 0.6754 0.1754
La 0.0000 0.3246 0.8246
La 0.0000 0.8246 0.6754
Er 0.0000 0.0000 0.0000
Er 0.0000 0.5000 0.5000

[6]
Entry from the Alexandria database: a relaxed structure of LaHoErCd (PBE-GGA).

Results
- DOS at the Fermi energy: 1.57 states/eV/atom
- Energy above the lowest structure with this stoichiometry: 0 meV/atom
- E_tot: -3.880 eV per atom

Cell lengths 3.6713, 3.6713, 8.8996 Å; angles 90.00, 90.00, 90.00 degrees
Positions (direct):
La 0.0000 0.0000 0.0720
Ho 0.5000 0.5000 0.7860
Cd 0.0000 0.0000 0.5700
Er 0.5000 0.5000 0.3568

[7]
Entry from the Alexandria database: a relaxed structure of LaHoErCd (PBE-GGA).

Results
- DOS at the Fermi energy: 1.35 states/eV/atom
- Energy above the lowest structure with this stoichiometry: 105 meV/atom
- E_tot: -3.775 eV per atom

Cell lengths 5.5265, 5.5265, 5.5265 Å; angles 60.00, 60.00, 60.00 degrees
Positions (direct):
Ho 0.5000 0.5000 0.5000
La 0.2500 0.2500 0.2500
Er 0.7500 0.7500 0.7500
Cd 0.0000 0.0000 0.0000

[8]
Entry from the Alexandria database: a relaxed structure of LaHoEr2Cd4 (PBE-GGA).

Results
- DOS at the Fermi energy: 1.09 states/eV/atom
- E_tot: -3.092 eV per atom

Cell lengths 5.3347, 5.3347, 9.2725 Å; angles 73.28, 73.28, 60.00 degrees
Positions (direct):
Er 0.2487 0.2487 0.2538
Er 0.7513 0.7513 0.7462
Cd 0.6217 0.6217 0.1350
Cd 0.1272 0.1272 0.6184
Cd 0.8728 0.8728 0.3816
Cd 0.3783 0.3783 0.8650
Ho 0.5000 0.5000 0.5000
La 0.0000 0.0000 0.0000

[9]
Entry from the Alexandria database: a relaxed structure of LiHoErCd (PBE-GGA).

Results
- DOS at the Fermi energy: 1.31 states/eV/atom
- E_tot: -3.103 eV per atom

Cell lengths 5.2260, 5.2260, 5.2260 Å; angles 60.00, 60.00, 60.00 degrees
Positions (direct):
Er 0.5000 0.5000 0.5000
Ho 0.0000 0.0000 0.0000
Cd 0.7500 0.7500 0.7500
Li 0.2500 0.2500 0.2500

[10]
Entry from the Alexandria database: a relaxed structure of LiHo2ErCd4 (PBE-GGA).

Results
- DOS at the Fermi energy: 0.90 states/eV/atom
- E_tot: -2.693 eV per atom

Cell lengths 5.1728, 5.1728, 8.9642 Å; angles 73.23, 73.23, 60.00 degrees
Positions (direct):
Cd 0.6212 0.6212 0.1364
Cd 0.3788 0.3788 0.8636
Cd 0.8734 0.8734 0.3798
Cd 0.1266 0.1266 0.6202
Li 0.5000 0.5000 0.5000
Ho 0.2491 0.2491 0.2528
Ho 0.7509 0.7509 0.7472
Er 0.0000 0.0000 0.0000

[11]
Entry from the Alexandria database: a relaxed structure of LiHoEr2Cd4 (PBE-GGA).

Results
- DOS at the Fermi energy: 0.93 states/eV/atom
- E_tot: -2.686 eV per atom

Cell lengths 5.1652, 5.1652, 8.9666 Å; angles 73.26, 73.26, 60.00 degrees
Positions (direct):
Er 0.2488 0.2488 0.2535
Er 0.7512 0.7512 0.7465
Cd 0.3792 0.3792 0.8623
Cd 0.6208 0.6208 0.1377
Cd 0.1267 0.1267 0.6199
Cd 0.8733 0.8733 0.3801
Li 0.5000 0.5000 0.5000
Ho 0.0000 0.0000 0.0000

[12]
Entry from the Alexandria database: a relaxed structure of HoErLuCd (PBE-GGA).

Results
- DOS at the Fermi energy: 1.19 states/eV/atom
- E_tot: -3.672 eV per atom

Cell lengths 5.3824, 5.3824, 5.3824 Å; angles 60.00, 60.00, 60.00 degrees
Positions (direct):
Lu 0.2500 0.2500 0.2500
Er 0.0000 0.0000 0.0000
Cd 0.7500 0.7500 0.7500
Ho 0.5000 0.5000 0.5000